#P
DFT (GGA-PBE) results for crystalline Na2Re2Hg at its relaxed geometry.

Cell and atoms, written as POSCAR:
```
Na2Re2Hg
1.0
9.3947 0.0000 0.0000
0.0000 9.3947 0.0000
0.0000 0.0000 2.6111
Re Hg Na
4 2 4
Direct
0.0864 0.5864 0.5000 Re
0.5864 0.9136 0.5000 Re
0.9136 0.4136 0.5000 Re
0.4136 0.0864 0.5000 Re
0.0000 0.0000 0.0000 Hg
0.5000 0.5000 0.0000 Hg
0.3021 0.8021 0.0000 Na
0.8021 0.6979 0.0000 Na
0.6979 0.1979 0.0000 Na
0.1979 0.3021 0.0000 Na
```

Results
* D(E_F): 9.541 states/eV per cell
* SG: P4/mbm, No. 127
* ρ: 8.920 g cm⁻³

#Q
DFT (GGA-PBE) results for crystalline Na2Re2Hg at its relaxed geometry.

Cell and atoms, written as POSCAR:
```
Na2Re2Hg
1.0
-3.1327 -1.0763 1.2279
-1.0401 -0.7324 -3.2957
1.2790 -9.6851 -0.1448
Re Hg Na
2 1 2
Direct
0.7500 0.2500 0.5000 Re
0.2500 0.7500 0.5000 Re
0.0000 0.0000 0.0000 Hg
0.3890 0.3890 0.2220 Na
0.6110 0.6110 0.7780 Na
```

Results
* D(E_F): 3.231 states/eV per cell
* SG: I4/mmm, No. 139
* ρ: 8.720 g cm⁻³

Ranked by calculated energy, most stable first: #Q, #P.